[1]
A relaxed structure of Na2BiF. Source: the Alexandria database, functional GGA-PBE.

Crystal system: tetragonal
Uncorrected formation energy, eV/f.u.: -5.1
Relative energy among the computed polymorphs, kJ per mole of atoms: 15.4

abc: 6.822 6.822 6.470
angles: 58.18 58.18 90.00
Atoms (fractional coordinates):
Na1 0.375 0.516 0.750
Na2 0.875 0.734 0.750
Na3 0.484 0.125 0.250
Bi1 0.000 0.000 0.000
F1 0.500 0.500 0.000
F2 0.250 0.750 0.500
Bi2 0.750 0.250 0.500
Na4 0.266 0.625 0.250



[2]
A relaxed structure of Na4Bi2F. Source: the Alexandria database, functional GGA-PBE.

Crystal system: tetragonal
Uncorrected formation energy, eV/f.u.: -5.8

abc: 5.368 5.368 8.049
angles: 109.48 109.48 90.00
Atoms (fractional coordinates):
F1 0.000 0.000 0.000
Na1 0.000 0.500 0.000
Na2 0.845 0.845 0.690
Na3 0.155 0.155 0.310
Na4 0.500 0.000 0.000
Bi1 0.388 0.388 0.775
Bi2 0.612 0.612 0.225



[3]
A relaxed structure of NaBiF2. Source: the Alexandria database, functional GGA-PBE.

Crystal system: trigonal
Uncorrected formation energy, eV/f.u.: -8.5
Relative energy among the computed polymorphs, kJ per mole of atoms: 0.0

abc: 7.351 7.351 7.351
angles: 27.40 27.40 27.40
Atoms (fractional coordinates):
Bi1 0.000 0.000 0.000
Na1 0.500 0.500 0.500
F1 0.891 0.891 0.891
F2 0.109 0.109 0.109



| no. | energy (eV/atom) |
| --- | --- |
| 1 | -3.38 |
| 2 | -2.95 |
| 3 | -4.35 |